No. 1
This record from the Alexandria database describes a geometry-optimized La2Ga4Ni3Rh structure. The functional is GGA-PBE.

Computed properties:
E_tot = -5.296 eV/atom
D(E_F) = 7.70 states/eV/f.u.

a = 4.2497 Å, b = 4.2497 Å, c = 9.9660 Å
α = 90.00°, β = 90.00°, γ = 90.00°
Positions (direct):
La  0.5000  0.0000  0.2491
La  0.0000  0.5000  0.7509
Ga  0.5000  0.5000  0.0000
Ga  0.0000  0.0000  0.0000
Ga  0.5000  0.0000  0.6298
Ga  0.0000  0.5000  0.3702
Ni  0.0000  0.0000  0.5000
Ni  0.5000  0.0000  0.8739
Ni  0.0000  0.5000  0.1261
Rh  0.5000  0.5000  0.5000



No. 2
This record from the Alexandria database describes a geometry-optimized Dy2IrRu structure. The functional is GGA-PBE.

Computed properties:
E_tot = -6.986 eV/atom
D(E_F) = 3.41 states/eV/f.u.

a = 3.4333 Å, b = 3.4333 Å, c = 8.4460 Å
α = 78.27°, β = 78.27°, γ = 60.00°
Positions (direct):
Ru  0.0000  0.0000  0.0000
Ir  0.5000  0.5000  0.5000
Dy  0.7494  0.7494  0.7518
Dy  0.2506  0.2506  0.2482



No. 3
This record from the Alexandria database describes a geometry-optimized Pm3PaRu3 structure. The functional is GGA-PBE.

Computed properties:
E_tot = -7.659 eV/atom
offset from the most stable computed form = 0.026 eV/atom
D(E_F) = 5.06 states/eV/f.u.

a = 6.9232 Å, b = 6.9232 Å, c = 7.1266 Å
α = 91.63°, β = 91.63°, γ = 93.74°
Positions (direct):
Pm  0.6591  0.6591  0.3728
Pm  0.1698  0.8302  0.5000
Pm  0.8302  0.1698  0.5000
Pm  0.2622  0.7378  0.0000
Pm  0.7378  0.2622  0.0000
Pm  0.3409  0.3409  0.6272
Pa  0.7699  0.7699  0.8530
Pa  0.2301  0.2301  0.1470
Ru  0.9116  0.9116  0.1644
Ru  0.9474  0.5203  0.7122
Ru  0.5203  0.9474  0.7122
Ru  0.0526  0.4797  0.2878
Ru  0.4797  0.0526  0.2878
Ru  0.0884  0.0884  0.8356



No. 4
This record from the Alexandria database describes a geometry-optimized Sn5Pb structure. The functional is GGA-PBE.

Computed properties:
E_tot = -3.899 eV/atom
offset from the most stable computed form = 0.000 eV/atom
D(E_F) = 2.65 states/eV/f.u.

a = 4.3435 Å, b = 5.2686 Å, c = 7.9106 Å
α = 109.45°, β = 90.00°, γ = 90.00°
Positions (direct):
Sn  0.5000  0.8241  0.6483
Sn  0.0000  0.6622  0.3244
Sn  0.5000  0.5000  0.0000
Sn  0.0000  0.3378  0.6756
Sn  0.5000  0.1759  0.3517
Pb  0.0000  0.0000  0.0000



No. 5
This record from the Alexandria database describes a geometry-optimized PaInSe3 structure. The functional is GGA-PBE.

Computed properties:
E_tot = -5.482 eV/atom
offset from the most stable computed form = 0.073 eV/atom
formation energy (no corrections) = -0.945 eV/atom

a = 7.3998 Å, b = 7.3998 Å, c = 8.1260 Å
α = 62.91°, β = 62.91°, γ = 60.00°
Each line ends with the local moment (μB).
Positions (direct):
Pa  0.3367  0.3367  0.9899  0.16
Pa  0.6633  0.6633  0.0101  0.16
In  0.1320  0.1320  0.6040  0.00
In  0.8680  0.8680  0.3960  0.00
Se  0.4125  0.9191  0.2586  -0.01
Se  0.9191  0.4098  0.2586  -0.01
Se  0.4098  0.4125  0.2586  -0.01
Se  0.5875  0.5902  0.7414  -0.01
Se  0.0809  0.5875  0.7414  -0.01
Se  0.5902  0.0809  0.7414  -0.01



No. 6
This record from the Alexandria database describes a geometry-optimized Er6Te3AuS2 structure. The functional is GGA-PBE.

Computed properties:
E_tot = -5.444 eV/atom
formation energy (no corrections) = -1.417 eV/atom
D(E_F) = 5.18 states/eV/f.u.

a = 7.1356 Å, b = 7.1356 Å, c = 7.3187 Å
α = 99.34°, β = 99.34°, γ = 119.89°
Positions (direct):
Er  0.9286  0.5910  0.7841
Er  0.7338  0.7338  0.2153
Er  0.0714  0.4090  0.2159
Er  0.5910  0.9286  0.7841
Er  0.2662  0.2662  0.7847
Er  0.4090  0.0714  0.2159
Te  0.1670  0.8330  0.5000
Te  0.8330  0.1670  0.5000
Te  0.5000  0.5000  0.5000
Au  0.0000  0.0000  0.0000
S  0.3339  0.6661  0.0000
S  0.6661  0.3339  0.0000



No. 7
This record from the Alexandria database describes a geometry-optimized Zr2CrAu structure. The functional is GGA-PBE.

Computed properties:
E_tot = -7.584 eV/atom
offset from the most stable computed form = 0.111 eV/atom
D(E_F) = 4.36 states/eV/f.u.

a = 5.1445 Å, b = 5.1445 Å, c = 4.2777 Å
α = 65.42°, β = 65.42°, γ = 49.02°
Each line ends with the local moment (μB).
Positions (direct):
Au  0.7500  0.7500  0.7500  -0.06
Cr  0.2500  0.2500  0.2500  2.58
Zr  0.9996  0.9996  0.0004  -0.35
Zr  0.5004  0.5004  0.4996  -0.35



No. 8
This record from the Alexandria database describes a geometry-optimized La4FeAu structure. The functional is GGA-PBE.

Computed properties:
E_tot = -4.630 eV/atom
offset from the most stable computed form = 0.865 eV/atom
D(E_F) = 11.80 states/eV/f.u.

a = 6.3170 Å, b = 6.3170 Å, c = 6.3170 Å
α = 60.00°, β = 60.00°, γ = 60.00°
Each line ends with the local moment (μB).
Positions (direct):
La  0.8763  0.3746  0.3746  0.10
La  0.3746  0.3746  0.8763  0.10
La  0.3746  0.8763  0.3746  0.10
La  0.3746  0.3746  0.3746  0.10
Fe  0.0000  0.0000  0.0000  -3.07
Au  0.7500  0.7500  0.7500  0.00



Number 1: spin magnetization 0.00 μB/cell. Number 2: spin magnetization 0.00 μB/cell. Number 3: spin magnetization 0.00 μB/cell. Number 4: spin magnetization 0.00 μB/cell. Number 5: spin magnetization 0.30 μB/cell. Number 6: spin magnetization 0.00 μB/cell. Number 7: spin magnetization 1.76 μB/cell. Number 8: spin magnetization 2.34 μB/cell.